Entry 1:
Entry from the Alexandria database: an optimized crystal structure of BaCoRe2 (PBE).

Calculated values
offset from the most stable computed form: 861 meV per atom
formation energy: 1358 meV/atom
crystal system: cubic
DOS(E_F): 3.96 states/eV/cell

a = 4.6913 Å, b = 4.6913 Å, c = 4.6913 Å
α = 60.00°, β = 60.00°, γ = 60.00°
Sites, in units of the cell vectors:
Ba: 0.0000 0.0000 0.0000
Co: 0.7500 0.7500 0.7500
Re: 0.2500 0.2500 0.2500
Re: 0.5000 0.5000 0.5000

=====

Entry 2:
Entry from the Alexandria database: an optimized crystal structure of BaSr2TlCl (PBE).

Calculated values
formation energy from raw total energies: -3.06 eV/f.u.
crystal system: tetragonal
DOS(E_F): 4.12 states/eV/cell

a = 5.8320 Å, b = 5.8320 Å, c = 6.4452 Å
α = 90.00°, β = 90.00°, γ = 90.00°
Sites, in units of the cell vectors:
Ba: 0.0000 0.0000 0.0000
Sr: 0.0000 0.5000 0.5000
Sr: 0.5000 0.0000 0.5000
Tl: 0.5000 0.5000 0.0000
Cl: 0.5000 0.5000 0.5000

=====

Entry 3:
Entry from the Alexandria database: an optimized crystal structure of ThTlOs (PBE).

Calculated values
offset from the most stable computed form: 0 meV per atom
formation energy: -208 meV/atom
crystal system: orthorhombic
DOS(E_F): 3.32 states/eV/cell

a = 9.2724 Å, b = 9.2724 Å, c = 4.1130 Å
α = 90.00°, β = 90.00°, γ = 155.31°
Sites, in units of the cell vectors:
Th: 0.0856 0.9144 0.7500
Th: 0.9144 0.0856 0.2500
Tl: 0.2886 0.7114 0.7500
Tl: 0.7114 0.2886 0.2500
Os: 0.4434 0.5566 0.7500
Os: 0.5566 0.4434 0.2500

=====

Entry 4:
Entry from the Alexandria database: an optimized crystal structure of HoPOsO (PBE).

Calculated values
formation energy from raw total energies: -7.54 eV/f.u.
crystal system: tetragonal
DOS(E_F): 2.07 states/eV/cell

a = 4.0052 Å, b = 4.0052 Å, c = 7.8423 Å
α = 90.00°, β = 90.00°, γ = 90.00°
Sites, in units of the cell vectors:
Ho: 0.2500 0.2500 0.1328
Ho: 0.7500 0.7500 0.8672
P: 0.2500 0.2500 0.6563
P: 0.7500 0.7500 0.3437
Os: 0.2500 0.7500 0.5000
Os: 0.7500 0.2500 0.5000
O: 0.2500 0.7500 0.0000
O: 0.7500 0.2500 0.0000

=====

Entry 5:
Entry from the Alexandria database: an optimized crystal structure of Te2RuSe (PBE).

Calculated values
formation energy from raw total energies: 0.16 eV/f.u.
crystal system: trigonal
DOS(E_F): 2.67 states/eV/cell

a = 8.9349 Å, b = 8.9349 Å, c = 8.9349 Å
α = 23.27°, β = 23.27°, γ = 23.27°
Sites, in units of the cell vectors:
Te: 0.0000 0.0000 0.0000
Te: 0.2345 0.2345 0.2345
Ru: 0.7340 0.7340 0.7340
Se: 0.4509 0.4509 0.4509

=====

Entry 6:
Entry from the Alexandria database: an optimized crystal structure of Zr2Ti5CuIr2 (PBE).

Calculated values
formation energy: -362 meV/atom
crystal system: tetragonal
DOS(E_F): 26.56 states/eV/cell

a = 10.6666 Å, b = 10.6666 Å, c = 3.1299 Å
α = 90.00°, β = 90.00°, γ = 90.00°
Sites, in units of the cell vectors:
Zr: 0.1770 0.3230 0.0000
Zr: 0.3230 0.8230 0.0000
Zr: 0.6770 0.1770 0.0000
Zr: 0.8230 0.6770 0.0000
Ti: 0.0000 0.5000 0.5000
Ti: 0.0499 0.8059 0.5000
Ti: 0.1941 0.0499 0.5000
Ti: 0.3059 0.5499 0.5000
Ti: 0.4501 0.3059 0.5000
Ti: 0.5000 0.0000 0.5000
Ti: 0.5499 0.6941 0.5000
Ti: 0.6941 0.4501 0.5000
Ti: 0.8059 0.9501 0.5000
Ti: 0.9501 0.1941 0.5000
Cu: 0.0000 0.0000 0.0000
Cu: 0.5000 0.5000 0.0000
Ir: 0.1341 0.6341 0.0000
Ir: 0.3659 0.1341 0.0000
Ir: 0.6341 0.8659 0.0000
Ir: 0.8659 0.3659 0.0000

=====

Entry 7:
Entry from the Alexandria database: an optimized crystal structure of K2TlTe (PBE).

Calculated values
offset from the most stable computed form: 0 meV per atom
formation energy from raw total energies: -2.32 eV/f.u.
crystal system: monoclinic
DOS(E_F): 1.93 states/eV/cell

a = 6.8958 Å, b = 6.8958 Å, c = 4.9715 Å
α = 90.10°, β = 90.10°, γ = 43.84°
Sites, in units of the cell vectors:
K: 0.0000 0.0000 0.0000
K: 0.7289 0.7289 0.4979
Tl: 0.4431 0.4431 0.4999
Te: 0.2849 0.2849 0.9987

=====

Entry 8:
Entry from the Alexandria database: an optimized crystal structure of Li2Tb (PBE).

Calculated values
offset from the most stable computed form: 0 meV per atom
formation energy: 116 meV/atom
crystal system: cubic
DOS(E_F): 5.16 states/eV/cell

a = 5.8447 Å, b = 5.8447 Å, c = 5.8447 Å
α = 60.00°, β = 60.00°, γ = 60.00°
Sites, in units of the cell vectors:
Li: 0.0000 0.0000 0.0000
Li: 0.0000 0.0000 0.5000
Li: 0.0000 0.5000 0.0000
Li: 0.5000 0.0000 0.0000
Tb: 0.3750 0.3750 0.3750
Tb: 0.6250 0.6250 0.6250

=====

What is the formula in the fifth record?
Te2RuSe